Compound: Re3N
Source: Alexandria via LeMat-Bulk
Functional: PBEsol
Structure: relaxed

Cell lengths 2.812, 2.812, 7.114 Å; angles 90.00, 90.00, 120.00 degrees
Atoms (fractional coordinates):
1 Re 0.667 0.333 0.802
2 Re 0.667 0.333 0.198
3 Re 0.333 0.667 0.500
4 N 0.333 0.667 0.000

As for the size of the total moment: 0.00 μB/cell. The value obtained for the raw formation energy is -0.139 eV per atom. The symmetry is No. 187.

***

Compound: ReRhN2
Source: Alexandria via LeMat-Bulk
Functional: PBEsol
Structure: relaxed

Cell lengths 3.773, 3.773, 3.773 Å; angles 60.00, 60.00, 60.00 degrees
Atoms (fractional coordinates):
1 Re 0.500 0.500 0.500
2 Rh 0.000 0.000 0.000
3 N 0.250 0.250 0.250
4 N 0.750 0.750 0.750

As for the size of the total moment: 0.00 μB/cell. The value obtained for the raw formation energy is 0.943 eV per atom. The symmetry is No. 225.

***

Compound: ReTeRuN2
Source: Alexandria via LeMat-Bulk
Functional: PBEsol
Structure: relaxed

Cell lengths 3.786, 3.786, 5.681 Å; angles 90.00, 90.00, 90.00 degrees
Atoms (fractional coordinates):
1 Re 0.500 0.500 0.500
2 N 0.000 0.500 0.000
3 N 0.500 0.000 0.000
4 Te 0.000 0.000 0.500
5 Ru 0.000 0.000 0.000

As for the size of the total moment: 3.23 μB/cell. The value obtained for the raw formation energy is 1.484 eV per atom. The symmetry is No. 123.

***

Compound: SrReS2N
Source: Alexandria via LeMat-Bulk
Functional: PBEsol
Structure: relaxed

Cell lengths 3.804, 4.828, 4.828 Å; angles 90.00, 90.00, 90.00 degrees
Atoms (fractional coordinates):
1 Re 0.000 0.000 0.000
2 S 0.000 0.000 0.500
3 S 0.000 0.500 0.000
4 N 0.500 0.000 0.000
5 Sr 0.500 0.500 0.500

As for the size of the total moment: 0.00 μB/cell. The value obtained for the raw formation energy is -0.743 eV per atom. The symmetry is No. 123.

***

Compound: ReTcS2N
Source: Alexandria via LeMat-Bulk
Functional: PBEsol
Structure: relaxed

Cell lengths 3.609, 4.673, 4.673 Å; angles 90.00, 90.00, 90.00 degrees
Atoms (fractional coordinates):
1 Re 0.500 0.500 0.500
2 S 0.000 0.000 0.500
3 S 0.000 0.500 0.000
4 Tc 0.000 0.000 0.000
5 N 0.500 0.000 0.000

As for the size of the total moment: 3.42 μB/cell. The value obtained for the raw formation energy is 1.021 eV per atom. The symmetry is No. 123.

***

Compound: TiReS2N
Source: Alexandria via LeMat-Bulk
Functional: PBEsol
Structure: relaxed

Cell lengths 3.697, 4.714, 4.714 Å; angles 90.00, 90.00, 90.00 degrees
Atoms (fractional coordinates):
1 Re 0.000 0.000 0.000
2 S 0.000 0.000 0.500
3 S 0.000 0.500 0.000
4 N 0.500 0.000 0.000
5 Ti 0.500 0.500 0.500

As for the size of the total moment: 1.61 μB/cell. The value obtained for the raw formation energy is 0.123 eV per atom. The symmetry is No. 123.

***

Compound: TlReS2N
Source: Alexandria via LeMat-Bulk
Functional: PBEsol
Structure: relaxed

Cell lengths 3.772, 4.819, 4.819 Å; angles 90.00, 90.00, 90.00 degrees
Atoms (fractional coordinates):
1 Re 0.000 0.000 0.000
2 Tl 0.500 0.500 0.500
3 S 0.000 0.000 0.500
4 S 0.000 0.500 0.000
5 N 0.500 0.000 0.000

As for the size of the total moment: 0.00 μB/cell. The value obtained for the raw formation energy is 0.027 eV per atom. The symmetry is No. 123.

***

Compound: ReWSN2
Source: Alexandria via LeMat-Bulk
Functional: PBEsol
Structure: relaxed

Cell lengths 3.783, 3.783, 4.920 Å; angles 90.00, 90.00, 90.00 degrees
Atoms (fractional coordinates):
1 Re 0.000 0.000 0.000
2 S 0.000 0.000 0.500
3 W 0.500 0.500 0.500
4 N 0.000 0.500 0.000
5 N 0.500 0.000 0.000

As for the size of the total moment: 2.90 μB/cell. The value obtained for the raw formation energy is 1.101 eV per atom. The symmetry is No. 123.

***

Compound: YReS2N
Source: Alexandria via LeMat-Bulk
Functional: PBEsol
Structure: relaxed

Cell lengths 3.751, 4.754, 4.754 Å; angles 90.00, 90.00, 90.00 degrees
Atoms (fractional coordinates):
1 Y 0.500 0.500 0.500
2 Re 0.000 0.000 0.000
3 S 0.000 0.000 0.500
4 S 0.000 0.500 0.000
5 N 0.500 0.000 0.000

As for the size of the total moment: 0.00 μB/cell. The value obtained for the raw formation energy is -0.653 eV per atom. The symmetry is No. 123.

***

Compound: ZrReS2N
Source: Alexandria via LeMat-Bulk
Functional: PBEsol
Structure: relaxed

Cell lengths 3.704, 4.699, 4.699 Å; angles 90.00, 90.00, 90.00 degrees
Atoms (fractional coordinates):
1 Re 0.000 0.000 0.000
2 S 0.000 0.000 0.500
3 S 0.000 0.500 0.000
4 Zr 0.500 0.500 0.500
5 N 0.500 0.000 0.000

As for the size of the total moment: 0.00 μB/cell. The value obtained for the raw formation energy is -0.106 eV per atom. The symmetry is No. 123.

***

Compound: Re3SbN
Source: Alexandria via LeMat-Bulk
Functional: PBEsol
Structure: relaxed

Cell lengths 4.116, 4.116, 4.116 Å; angles 90.00, 90.00, 90.00 degrees
Atoms (fractional coordinates):
1 Re 0.000 0.500 0.000
2 Re 0.000 0.000 0.500
3 Re 0.500 0.000 0.000
4 N 0.000 0.000 0.000
5 Sb 0.500 0.500 0.500

As for the size of the total moment: 0.22 μB/cell. The value obtained for the raw formation energy is 0.578 eV per atom. The symmetry is No. 221.

***

Compound: Sc2ReN
Source: Alexandria via LeMat-Bulk
Functional: PBEsol
Structure: relaxed

Cell lengths 3.197, 3.197, 8.178 Å; angles 78.73, 78.73, 60.00 degrees
Atoms (fractional coordinates):
1 Sc 0.919 0.919 0.243
2 Sc 0.081 0.081 0.757
3 Re 0.500 0.500 0.500
4 N 0.000 0.000 0.000

As for the size of the total moment: 0.00 μB/cell. The value obtained for the raw formation energy is 0.436 eV per atom. The symmetry is No. 166.